Entry 1:
VASP calculation (PBE) on a relaxed LiHg2SeO4 crystal.

## Properties
The calculation puts the electronic total energy at -31.4 eV/cell. The uncorrected formation energy comes out at -66.87 kJ per mole of atoms.

Unit cell a=5.804 b=5.804 c=5.804 alpha=89.24 beta=120.44 gamma=120.44
Fractional coordinates of all 8 atoms:
Hg (0.000, 0.000, 0.000)
Hg (0.500, 0.750, 0.250)
O (0.869, 0.472, 0.163)
O (0.309, 0.837, 0.706)
O (0.131, 0.294, 0.603)
O (0.691, 0.397, 0.528)
Se (0.000, 0.500, 0.500)
Li (0.500, 0.250, 0.750)

Entry 2:
VASP calculation (PBE) on a relaxed LiTl3Te2Se6 crystal.

## Properties
The calculation puts the electronic total energy at -40.3 eV/cell. The uncorrected formation energy comes out at -32.61 kJ per mole of atoms.

Unit cell a=7.170 b=7.170 c=7.865 alpha=98.58 beta=98.58 gamma=119.87
Fractional coordinates of all 12 atoms:
Li (0.000, 0.000, 0.000)
Se (0.595, 0.930, 0.790)
Se (0.405, 0.070, 0.210)
Se (0.930, 0.595, 0.790)
Se (0.734, 0.734, 0.199)
Se (0.070, 0.405, 0.210)
Se (0.266, 0.266, 0.801)
Te (0.335, 0.665, 0.000)
Te (0.665, 0.335, 0.000)
Tl (0.835, 0.165, 0.500)
Tl (0.500, 0.500, 0.500)
Tl (0.165, 0.835, 0.500)